1.
Compound: Y7Ta3O18
Source: the Alexandria database
Functional: GGA-PBEsol
Structure: relaxed

The structure in extended XYZ format:
```
56
Lattice="6.349 0.000 0.000 2.125 5.985 0.000 0.009 0.035 18.516" Properties=species:S:1:pos:R:3 pbc="T T T"
Y 0.000 0.000 0.000
Y 0.087 0.231 11.127
Y 0.105 0.208 3.677
Y 4.011 3.011 7.413
Y 4.019 2.991 14.811
Y 3.120 0.117 5.579
Y 3.118 0.046 16.560
Y 3.179 0.017 9.258
Y 5.365 5.974 1.956
Y 5.363 5.903 12.937
Y 4.463 3.028 3.705
Y 4.472 3.009 11.103
Y 8.378 5.812 14.839
Y 8.396 5.788 7.389
Ta 1.067 3.010 9.258
Ta 1.067 2.986 1.642
Ta 1.078 3.003 13.033
Ta 4.237 2.993 0.000
Ta 7.405 3.017 5.483
Ta 7.416 3.034 16.874
O 1.583 3.363 14.929
O 1.625 3.410 7.382
O 0.838 1.069 9.015
O 0.844 1.078 13.229
O 0.853 1.053 5.740
O 0.881 1.069 16.538
O 1.129 0.944 1.742
O 2.109 3.615 18.490
O 2.959 2.667 12.722
O 2.971 2.554 9.491
O 2.975 2.514 5.327
O 3.059 2.694 1.920
O 3.098 2.401 16.808
O 4.127 5.170 14.846
O 4.149 5.190 7.388
O 4.200 5.222 11.093
O 4.221 5.222 3.801
O 4.229 5.015 18.352
O 4.254 1.005 0.164
O 4.261 0.798 14.715
O 4.282 0.798 7.423
O 4.333 0.830 11.128
O 4.355 0.850 3.670
O 5.385 3.619 1.708
O 5.424 3.326 16.596
O 5.508 3.506 13.189
O 5.512 3.466 9.026
O 5.524 3.353 5.794
O 6.374 2.405 0.026
O 7.353 5.076 16.775
O 7.602 4.951 1.978
O 7.630 4.967 12.776
O 7.638 4.942 5.287
O 7.645 4.951 9.501
O 6.858 2.610 11.134
O 6.900 2.657 3.587
```

Computed properties:
Raw formation energy = -3.406 eV per atom
Calculated volume = 352 Å³/f.u.
M_tot = 0.00 μB/f.u.



2.
Compound: YTaO4
Source: the Alexandria database
Functional: GGA-PBEsol
Structure: relaxed

The structure in extended XYZ format:
```
12
Lattice="5.103 0.000 0.000 0.000 5.421 0.000 -0.615 0.000 5.247" Properties=species:S:1:pos:R:3 pbc="T T T"
Y -0.154 1.271 1.312
Y -0.461 4.151 3.935
Ta 2.091 1.655 3.935
Ta 2.398 3.766 1.312
O 0.907 0.434 3.144
O 1.214 4.987 0.521
O 0.751 2.383 5.203
O 1.059 3.038 2.580
O 3.430 2.383 2.668
O 3.737 3.038 0.044
O 3.275 0.434 4.727
O 3.582 4.987 2.103
```

Computed properties:
Raw formation energy = -3.302 eV per atom
Calculated volume = 73 Å³/f.u.
M_tot = 0.00 μB/f.u.



3.
Compound: YTaO4
Source: the Alexandria database
Functional: GGA-PBEsol
Structure: relaxed

The structure in extended XYZ format:
```
12
Lattice="3.467 -5.452 0.000 3.467 5.452 0.000 -3.270 0.000 3.835" Properties=species:S:1:pos:R:3 pbc="T T T"
Y 1.014 4.011 2.876
Y 2.649 -4.011 0.959
Ta 2.649 1.092 0.959
Ta 1.014 -1.092 2.876
O 1.263 2.301 1.304
O -0.775 0.331 3.001
O 0.861 -0.331 1.084
O 4.036 2.301 0.613
O -0.373 -2.301 3.221
O 2.803 0.331 2.751
O 4.438 -0.331 0.834
O 2.401 -2.301 2.531
```

Computed properties:
Raw formation energy = -3.296 eV per atom
Calculated volume = 72 Å³/f.u.
M_tot = 0.00 μB/f.u.



4.
Compound: Y11Ta5O28
Source: the Alexandria database
Functional: GGA-PBEsol
Structure: relaxed

The structure in extended XYZ format:
```
44
Lattice="7.353 0.000 0.000 0.000 7.348 0.000 -0.027 0.000 10.379" Properties=species:S:1:pos:R:3 pbc="T T T"
Y 0.000 0.000 0.000
Y -0.002 3.674 5.298
Y 1.811 1.824 2.697
Y 1.811 5.524 2.697
Y 3.480 0.000 0.000
Y 3.529 3.674 5.428
Y 3.774 0.000 5.083
Y 5.590 1.783 7.799
Y 5.590 5.565 7.799
Y 7.139 3.674 0.229
Y 7.202 0.000 5.036
Ta 1.752 1.850 7.880
Ta 1.752 5.498 7.880
Ta 3.710 3.674 0.325
Ta 5.498 2.019 2.807
Ta 5.498 5.329 2.807
O 0.143 2.040 9.106
O 0.143 5.308 9.106
O 0.305 1.607 6.582
O 0.305 5.741 6.582
O 1.759 0.000 1.291
O 1.763 3.674 7.121
O 1.804 3.674 4.070
O 1.837 0.000 4.040
O 1.835 0.000 8.655
O 1.892 3.674 1.230
O 2.912 2.322 9.379
O 2.912 5.026 9.379
O 3.289 1.587 6.703
O 3.289 5.760 6.703
O 3.899 2.001 3.967
O 3.899 5.346 3.967
O 3.917 1.796 1.301
O 3.917 5.552 1.301
O 5.188 3.674 9.427
O 5.293 3.674 1.671
O 5.356 0.000 9.231
O 5.447 0.000 3.398
O 5.484 3.674 6.580
O 5.503 0.000 6.447
O 6.909 1.699 1.401
O 6.909 5.649 1.401
O 7.103 1.939 3.951
O 7.103 5.409 3.951
```

Computed properties:
Raw formation energy = -3.377 eV per atom
Calculated volume = 561 Å³/f.u.
M_tot = 0.00 μB/f.u.



5.
Compound: Y11Ta5O28
Source: the Alexandria database
Functional: GGA-PBEsol
Structure: relaxed

The structure in extended XYZ format:
```
44
Lattice="12.303 -3.640 0.000 12.303 3.640 0.000 -1.082 0.000 6.254" Properties=species:S:1:pos:R:3 pbc="T T T"
Y 0.000 0.000 0.000
Y 6.151 1.820 0.000
Y 2.172 0.000 4.881
Y 11.761 1.848 3.127
Y 5.804 0.000 3.250
Y 8.904 0.000 1.759
Y 6.151 -1.820 0.000
Y 14.619 0.000 4.495
Y 17.719 0.000 3.004
Y 11.761 -1.848 3.127
Y 21.351 0.000 1.373
Ta 8.346 1.934 4.644
Ta 15.177 1.934 1.610
Ta 12.303 0.000 0.000
Ta 8.346 -1.934 4.644
Ta 15.177 -1.934 1.610
O 6.453 2.014 4.180
O -0.092 0.000 4.378
O 2.239 0.000 0.744
O 9.371 2.016 2.935
O 8.721 1.644 0.228
O 4.416 0.000 5.020
O 10.254 1.462 5.357
O 6.786 0.000 1.281
O 14.152 2.016 3.319
O 13.269 1.462 0.897
O 8.093 0.000 4.026
O 14.802 1.644 6.026
O 17.070 2.014 2.074
O 11.174 0.000 1.709
O 12.349 0.000 4.545
O 6.453 -2.014 4.180
O 8.721 -1.644 0.228
O 15.430 0.000 2.228
O 10.254 -1.462 5.357
O 9.371 -2.016 2.935
O 16.737 0.000 4.973
O 13.269 -1.462 0.897
O 19.107 0.000 1.234
O 14.802 -1.644 6.026
O 14.152 -2.016 3.319
O 21.284 0.000 5.510
O 23.614 0.000 1.876
O 17.070 -2.014 2.074
```

Computed properties:
Raw formation energy = -3.375 eV per atom
Calculated volume = 560 Å³/f.u.
M_tot = 2.05 μB/f.u.



6.
Compound: Ta2ZnO6
Source: the Alexandria database
Functional: GGA-PBEsol
Structure: relaxed

The structure in extended XYZ format:
```
9
Lattice="-2.816 3.739 2.577 2.816 -3.739 2.577 2.816 3.739 -2.577" Properties=species:S:1:pos:R:3 pbc="T T T"
Ta 0.000 1.830 0.000
Ta 0.000 5.649 0.000
Zn 2.816 0.000 0.171
O 1.535 -1.378 1.106
O 4.097 -1.378 1.106
O 1.535 1.378 1.106
O 4.097 1.378 1.106
O 0.000 3.739 0.790
O 0.000 0.000 4.569
```

Computed properties:
Raw formation energy = -2.506 eV per atom
Calculated volume = 109 Å³/f.u.
M_tot = 0.00 μB/f.u.



7.
Compound: Ta2Zn4O9
Source: the Alexandria database
Functional: GGA-PBEsol
Structure: relaxed

The structure in extended XYZ format:
```
60
Lattice="8.741 0.000 0.000 4.241 7.731 0.000 0.478 0.317 10.352" Properties=species:S:1:pos:R:3 pbc="T T T"
Ta 0.000 0.000 0.000
Ta 0.239 0.159 5.176
Ta 2.814 0.092 2.510
Ta 4.730 2.989 8.249
Ta 4.551 2.820 3.115
Ta 8.908 5.228 7.237
Ta 8.729 5.059 2.102
Ta 10.646 7.956 7.842
Zn 1.501 2.223 7.556
Zn 1.837 2.686 0.691
Zn 3.542 4.514 5.793
Zn 5.698 6.427 7.837
Zn 5.408 4.613 0.470
Zn 3.509 0.681 5.892
Zn 6.225 5.353 4.769
Zn 7.978 7.249 9.855
Zn 5.481 0.799 0.497
Zn 7.234 2.695 5.582
Zn 9.950 7.367 4.459
Zn 8.051 3.435 9.881
Zn 7.762 1.621 2.515
Zn 9.918 3.534 4.559
Zn 11.622 5.362 9.660
Zn 11.959 5.825 2.795
O 1.385 0.638 8.661
O 4.245 6.003 4.578
O 1.249 0.524 3.494
O 4.670 6.126 9.790
O 3.268 3.432 9.388
O 3.060 3.312 4.230
O 4.377 4.418 2.081
O 3.385 2.260 6.946
O 6.030 7.399 0.859
O 6.167 7.256 5.990
O 4.838 4.658 7.272
O 3.178 1.878 1.800
O 4.138 0.794 3.930
O 5.828 3.386 4.388
O 7.276 6.024 3.245
O 6.112 3.400 9.558
O 7.559 6.085 8.405
O 4.860 1.000 9.064
O 8.600 7.048 1.287
O 5.900 1.963 1.947
O 7.347 4.648 0.793
O 6.184 2.024 7.106
O 7.632 4.662 5.963
O 9.321 7.254 6.421
O 10.282 6.170 8.552
O 8.621 3.390 3.080
O 7.292 0.792 4.362
O 7.429 0.649 9.492
O 10.075 5.788 3.405
O 9.082 3.630 8.271
O 10.399 4.736 6.122
O 10.192 4.616 0.963
O 8.790 1.922 0.561
O 12.211 7.524 6.857
O 9.215 2.045 5.773
O 12.074 7.410 1.691
```

Computed properties:
Raw formation energy = -2.065 eV per atom
Calculated volume = 175 Å³/f.u.
M_tot = 0.00 μB/f.u.



8.
Compound: Ta2ZnO6
Source: the Alexandria database
Functional: GGA-PBEsol
Structure: relaxed

The structure in extended XYZ format:
```
36
Lattice="4.700 0.000 0.000 0.000 17.113 0.000 0.000 0.000 5.064" Properties=species:S:1:pos:R:3 pbc="T T T"
Ta 0.000 0.948 1.266
Ta 0.000 4.801 3.798
Ta 0.000 12.312 1.266
Ta 0.000 16.164 3.798
Ta 2.350 3.756 1.266
Ta 2.350 7.608 3.798
Ta 2.350 9.504 1.266
Ta 2.350 13.357 3.798
Zn 0.000 6.784 1.266
Zn 0.000 10.328 3.798
Zn 2.350 1.772 3.798
Zn 2.350 15.341 1.266
O 1.032 0.607 2.902
O 1.032 16.505 0.370
O 1.082 6.354 3.033
O 1.082 10.758 0.501
O 1.118 4.956 0.377
O 1.118 12.156 2.909
O 1.232 3.600 2.909
O 1.232 13.513 0.377
O 1.268 2.202 0.501
O 1.268 14.911 3.033
O 1.318 7.949 0.370
O 1.318 9.164 2.902
O 3.382 7.949 2.162
O 3.382 9.164 4.694
O 3.432 2.202 2.031
O 3.432 14.911 4.563
O 3.468 3.600 4.686
O 3.468 13.513 2.155
O 3.582 4.956 2.155
O 3.582 12.156 4.686
O 3.618 6.354 4.563
O 3.618 10.758 2.031
O 3.668 0.607 4.694
O 3.668 16.505 2.162
```

Computed properties:
Raw formation energy = -2.541 eV per atom
Calculated volume = 102 Å³/f.u.
M_tot = 0.00 μB/f.u.



9.
Compound: Ta2Zn4O9
Source: the Alexandria database
Functional: GGA-PBEsol
Structure: relaxed

The structure in extended XYZ format:
```
30
Lattice="5.172 0.000 0.000 -2.586 4.479 0.000 0.000 0.000 14.143" Properties=species:S:1:pos:R:3 pbc="T T T"
Ta 0.000 0.000 1.995
Ta 0.000 0.000 5.077
Ta 0.000 0.000 9.066
Ta 0.000 0.000 12.148
Zn 0.000 2.986 0.227
Zn 0.000 2.986 4.273
Zn 0.000 2.986 7.298
Zn 0.000 2.986 11.345
Zn 2.586 1.493 2.798
Zn 2.586 1.493 6.845
Zn 2.586 1.493 9.869
Zn 2.586 1.493 13.916
O -0.738 1.279 3.536
O -1.848 3.200 10.607
O -0.770 1.535 12.955
O -1.641 3.044 5.883
O 1.477 0.000 3.536
O 0.738 1.279 10.607
O 0.770 1.535 5.883
O -0.871 4.378 12.955
O 1.715 0.101 8.259
O 0.945 1.435 1.188
O 1.641 3.044 12.955
O 0.871 4.378 5.883
O 3.457 0.101 1.188
O 1.816 2.943 8.259
O 3.695 0.000 10.607
O 1.848 3.200 3.536
O 4.227 1.435 8.259
O 3.356 2.943 1.188
```

Computed properties:
Raw formation energy = -2.062 eV per atom
Calculated volume = 164 Å³/f.u.
M_tot = 0.00 μB/f.u.



10.
Compound: Ta2Zn4O9
Source: the Alexandria database
Functional: GGA-PBEsol
Structure: relaxed

The structure in extended XYZ format:
```
60
Lattice="9.323 0.000 0.000 0.000 5.202 0.000 -8.809 0.000 13.118" Properties=species:S:1:pos:R:3 pbc="T T T"
Ta -2.995 0.002 4.472
Ta -7.400 2.599 11.031
Ta 3.193 0.010 2.097
Ta -1.211 2.591 8.656
Ta 1.726 2.611 4.462
Ta -2.679 5.192 11.021
Ta 3.509 5.200 8.645
Ta 7.914 2.603 2.087
Zn 0.000 0.000 0.000
Zn -4.404 2.601 6.559
Zn -5.685 0.014 11.860
Zn -1.281 2.587 5.301
Zn 0.196 0.021 3.111
Zn -4.208 2.579 9.670
Zn -2.597 0.066 7.550
Zn 1.808 2.535 0.991
Zn 0.257 0.000 6.559
Zn 4.661 2.601 0.000
Zn -1.293 2.667 12.126
Zn 3.111 5.136 5.568
Zn 4.723 2.622 3.447
Zn 0.318 5.180 10.006
Zn 1.795 2.615 7.817
Zn 6.200 5.188 1.258
O -3.080 3.483 5.328
O -7.484 4.320 11.887
O -6.010 3.531 9.810
O -1.605 4.272 3.251
O 0.042 3.398 1.165
O -4.362 4.405 7.724
O -1.681 0.657 5.773
O -6.085 1.944 12.332
O -4.491 0.619 10.196
O -0.087 1.981 3.637
O 1.412 0.603 1.493
O -2.992 1.998 8.052
O -0.782 3.461 7.005
O 3.623 4.342 0.446
O -3.624 3.540 11.366
O 0.780 4.263 4.807
O 2.350 3.465 2.706
O -2.055 4.338 9.265
O 2.569 0.864 3.852
O -1.836 1.737 10.411
O -0.266 0.939 8.310
O 4.138 1.662 1.751
O -3.109 0.860 12.671
O 1.296 1.741 6.112
O 3.507 3.204 5.065
O -0.898 4.599 11.624
O 0.601 3.220 9.481
O 5.006 4.582 2.922
O 6.600 3.258 0.786
O 2.195 4.545 7.344
O 4.876 0.797 5.394
O 0.472 1.804 11.953
O 2.120 0.930 9.867
O 6.524 1.671 3.308
O 7.998 0.882 1.231
O 3.594 1.719 7.790
```

Computed properties:
Raw formation energy = -2.022 eV per atom
Calculated volume = 159 Å³/f.u.
M_tot = 0.00 μB/f.u.